This record from Alexandria via LeMat-Bulk describes a geometry-optimized Mg2In2Ni4P structure. The functional is PBE-GGA.

Summary:
Energy of formation, eV per atom: -0.14
Volume, Å³/f.u.: 141.10
Size of the total moment, μB per formula unit: 0.000
Theoretical density, Mg/m³: 6.40

Unit cell a=5.9319 b=5.9319 c=8.0199 alpha=90.00 beta=90.00 gamma=90.00
With the nearest neighbours (Å) after each atom.
Space group I4/mmm (No. 139)
Symmetry-distinct sites (fractional):
1 Mg 0.0000 0.0000 0.1946 (multiplicity 4)  1 P 2.45, 4 Ni 2.58
2 In 0.0000 0.5000 0.2500 (multiplicity 4)  8 Ni 2.90, 4 Mg 3.00
3 Ni 0.2446 0.2446 0.0000 (multiplicity 8)  1 P 2.14
4 P 0.0000 0.0000 0.5000 (multiplicity 2)  4 Ni 2.14

=====

This record from Alexandria via LeMat-Bulk describes a geometry-optimized Mg5In2NiPd2 structure. The functional is PBE-GGA.

Summary:
Energy of formation, eV per atom: -0.33
Volume, Å³/f.u.: 192.82
Size of the total moment, μB per formula unit: 0.000
Theoretical density, Mg/m³: 5.36

Unit cell a=10.9444 b=10.9444 c=3.2195 alpha=90.00 beta=90.00 gamma=90.00
With the nearest neighbours (Å) after each atom.
Space group P4/mbm (No. 127)
Symmetry-distinct sites (fractional):
1 Mg 0.0000 0.5000 0.0000 (multiplicity 2)  4 Pd 2.67
2 Mg 0.0516 0.1890 0.0000 (multiplicity 8)  2 Pd 2.66, 2 Ni 2.68
3 In 0.1764 0.6764 0.5000 (multiplicity 4)  1 Pd 2.88, 2 Mg 3.17, 2 In 3.22
4 Ni 0.0000 0.0000 0.5000 (multiplicity 2)  8 Mg 2.68
5 Pd 0.1376 0.3624 0.5000 (multiplicity 4)  6 Mg 2.66-2.67, 1 In 2.88

=====

This record from Alexandria via LeMat-Bulk describes a geometry-optimized Mg3In3NiPd2 structure. The functional is PBE-GGA.

Summary:
Energy of formation, eV per atom: -0.41
Volume, Å³/f.u.: 167.27
Size of the total moment, μB per formula unit: 0.000
Theoretical density, Mg/m³: 6.84

Unit cell a=7.6476 b=7.6476 c=3.3024 alpha=90.00 beta=90.00 gamma=120.00
With the nearest neighbours (Å) after each atom.
Space group P-62m (No. 189)
Symmetry-distinct sites (fractional):
1 Mg 0.0000 0.3910 0.0000 (multiplicity 3)  4 Pd 2.88, 1 Ni 2.99, 6 In 3.06-3.13
2 In 0.0000 0.7282 0.5000 (multiplicity 3)  2 Ni 2.65, 2 Pd 2.81
3 Ni 0.0000 0.0000 0.0000 (multiplicity 1)  6 In 2.65
4 Pd 0.3333 0.6667 0.5000 (multiplicity 2)  3 In 2.81, 6 Mg 2.88

=====

This record from Alexandria via LeMat-Bulk describes a geometry-optimized PmMgInNi structure. The functional is PBE-GGA.

Summary:
Energy of formation, eV per atom: -0.22
Volume, Å³/f.u.: 86.43
Size of the total moment, μB per formula unit: 0.000
Theoretical density, Mg/m³: 6.59

Unit cell a=7.0185 b=7.0185 c=7.0185 alpha=90.00 beta=90.00 gamma=90.00
With the nearest neighbours (Å) after each atom.
Space group F-43m (No. 216)
Symmetry-distinct sites (fractional):
1 Pm 0.0000 0.0000 0.0000 (multiplicity 4)  4 Ni 3.04, 4 In 3.04
2 Mg 0.0000 0.0000 0.5000 (multiplicity 4)  4 In 3.04, 4 Ni 3.04
3 In 0.2500 0.2500 0.2500 (multiplicity 4)  4 Pm 3.04, 4 Mg 3.04
4 Ni 0.2500 0.2500 0.7500 (multiplicity 4)  4 Mg 3.04, 4 Pm 3.04

=====

This record from Alexandria via LeMat-Bulk describes a geometry-optimized Mg3In3NiPt2 structure. The functional is PBE-GGA.

Summary:
Energy of formation, eV per atom: -0.47
Volume, Å³/f.u.: 166.10
Size of the total moment, μB per formula unit: 0.000
Theoretical density, Mg/m³: 8.66

Unit cell a=7.6026 b=7.6026 c=3.3183 alpha=90.00 beta=90.00 gamma=120.00
With the nearest neighbours (Å) after each atom.
Space group P-62m (No. 189)
Symmetry-distinct sites (fractional):
1 Mg 0.0000 0.3940 0.0000 (multiplicity 3)  4 Pt 2.87, 1 Ni 3.00, 6 In 3.05-3.13
2 In 0.0000 0.7305 0.5000 (multiplicity 3)  2 Ni 2.64, 2 Pt 2.81
3 Ni 0.0000 0.0000 0.0000 (multiplicity 1)  6 In 2.64
4 Pt 0.3333 0.6667 0.5000 (multiplicity 2)  3 In 2.81, 6 Mg 2.87

=====

This record from Alexandria via LeMat-Bulk describes a geometry-optimized Mg3In3Ni2Pt structure. The functional is PBE-GGA.

Summary:
Energy of formation, eV per atom: -0.29
Volume, Å³/f.u.: 161.70
Size of the total moment, μB per formula unit: 0.000
Theoretical density, Mg/m³: 7.49

Unit cell a=7.4906 b=7.4906 c=3.3278 alpha=90.00 beta=90.00 gamma=120.00
With the nearest neighbours (Å) after each atom.
Space group P-62m (No. 189)
Symmetry-distinct sites (fractional):
1 Mg 0.0000 0.7248 0.0000 (multiplicity 3)  2 Pt 2.65, 2 Ni 2.74
2 In 0.0000 0.3891 0.5000 (multiplicity 3)  4 Ni 2.85, 1 Pt 2.91, 6 Mg 3.02-3.08
3 Ni 0.3333 0.6667 0.0000 (multiplicity 2)  3 Mg 2.74, 6 In 2.85
4 Pt 0.0000 0.0000 0.5000 (multiplicity 1)  6 Mg 2.65, 3 In 2.91